Computed, not measured: a geometry-optimized InAg7Au5 structure at the GGA-PBE level of DFT.

Cell lengths 7.356, 7.356, 5.479 Å; angles 111.29, 111.29, 82.04 degrees
Fractional positions:
In  0.000  0.000  0.000
Ag  0.215  0.792  0.502
Ag  0.224  0.224  0.723
Ag  0.355  0.651  0.002
Ag  0.356  0.356  0.352
Ag  0.647  0.647  0.648
Ag  0.651  0.355  0.002
Ag  0.792  0.215  0.502
Au  0.003  0.502  0.001
Au  0.003  0.503  0.502
Au  0.502  0.003  0.001
Au  0.503  0.003  0.502
Au  0.787  0.787  0.284

E_form	0.026	eV/atom
raw total energy	-2.98	eV/atom